(1)
The following is a PBE calculation of a relaxed structure of ZnGa3Pd6, from the Alexandria database.

Results
The size of the total moment is 0.00 μB per cell. The value obtained for the formation energy from the elements is -0.473 eV/atom. The calculation puts the volume at 15.937 Å³ per atom.

Cell: 6.238 6.860 7.448 Å, 90.00 90.14 90.00°
Atoms (fractional coordinates):
1 Zn 0.500 0.500 0.500
2 Zn 0.000 0.000 0.000
3 Ga 0.580 0.848 0.749
4 Ga 0.500 0.500 0.000
5 Ga 0.420 0.152 0.251
6 Ga 0.080 0.652 0.249
7 Ga 0.000 0.000 0.500
8 Ga 0.920 0.348 0.751
9 Pd 0.642 0.157 0.947
10 Pd 0.647 0.156 0.553
11 Pd 0.757 0.390 0.247
12 Pd 0.243 0.610 0.753
13 Pd 0.353 0.844 0.447
14 Pd 0.358 0.843 0.053
15 Pd 0.142 0.343 0.447
16 Pd 0.147 0.344 0.053
17 Pd 0.257 0.110 0.747
18 Pd 0.743 0.890 0.253
19 Pd 0.853 0.656 0.947
20 Pd 0.858 0.657 0.553



(2)
The following is a PBE calculation of a relaxed structure of Zn5Ga2Pd, from the Alexandria database.

Results
The size of the total moment is 0.00 μB per cell. The value obtained for the formation energy from the elements is -0.112 eV/atom. The calculation puts the volume at 15.581 Å³ per atom.

Cell: 6.139 6.160 5.832 Å, 126.56 126.33 87.83°
Atoms (fractional coordinates):
1 Zn 0.686 0.247 0.944
2 Zn 0.202 0.203 0.845
3 Zn 0.750 0.748 0.049
4 Zn 0.249 0.688 0.951
5 Zn 0.751 0.750 0.546
6 Ga 0.246 0.688 0.442
7 Ga 0.687 0.245 0.437
8 Pd 0.206 0.207 0.339



(3)
The following is a PBE calculation of a relaxed structure of Zn6GaPd2, from the Alexandria database.

Results
The size of the total moment is 0.00 μB per cell. The value obtained for the formation energy from the elements is -0.240 eV/atom. The calculation puts the volume at 15.150 Å³ per atom.

Cell: 2.801 6.539 7.851 Å, 78.69 79.72 77.63°
Atoms (fractional coordinates):
1 Zn 0.760 0.369 0.112
2 Zn 0.240 0.631 0.888
3 Zn 0.376 0.702 0.547
4 Zn 0.042 0.656 0.259
5 Zn 0.958 0.344 0.741
6 Zn 0.624 0.298 0.453
7 Ga 0.000 0.000 0.000
8 Pd 0.344 0.027 0.285
9 Pd 0.656 0.973 0.715